{"formula": "HoCd2Pd3", "functional": "PBE", "state": "optimized geometry", "lattice": [[4.756, 0.000, 0.000], [-2.378, 4.119, 0.000], [0.000, 0.000, 5.725]], "species": ["Pd", "Pd", "Pd", "Cd", "Cd", "Ho"], "fractional_positions": [[0.333, 0.667, 0.177], [0.000, 0.000, 0.500], [0.667, 0.333, 0.823], [0.667, 0.333, 0.332], [0.333, 0.667, 0.668], [0.000, 0.000, 0.000]], "formation_energy_ev_per_atom": -0.61, "polymorph_energy_ev_per_atom": 0.008, "spacegroup": "P-3m1, No. 164", "dft_energy_ev_per_atom": -4.279}

***

{"formula": "Ba6Sb2TeAs", "functional": "PBE", "state": "optimized geometry", "lattice": [[8.269, 0.000, -0.009], [0.000, 9.276, 0.000], [0.058, 0.000, 12.141]], "species": ["Te", "Te", "Ba", "Ba", "Ba", "Ba", "Ba", "Ba", "Ba", "Ba", "Ba", "Ba", "Ba", "Ba", "Sb", "Sb", "Sb", "Sb", "As", "As"], "fractional_positions": [[0.500, 0.000, 0.000], [0.000, 0.500, 0.500], [0.653, 0.063, 0.259], [0.186, 0.178, 0.424], [0.153, 0.437, 0.759], [0.347, 0.937, 0.741], [0.332, 0.697, 0.425], [0.168, 0.197, 0.075], [0.668, 0.303, 0.575], [0.832, 0.803, 0.925], [0.847, 0.563, 0.241], [0.686, 0.322, 0.924], [0.814, 0.822, 0.576], [0.314, 0.678, 0.076], [0.955, 0.099, 0.752], [0.045, 0.901, 0.248], [0.455, 0.401, 0.252], [0.545, 0.599, 0.748], [0.000, 0.500, 0.000], [0.500, 0.000, 0.500]], "spacegroup": "P2_1/c, No. 14", "dft_energy_ev_per_atom": -3.860}

***

{"formula": "TiMo2Br", "functional": "PBE", "state": "optimized geometry", "lattice": [[-2.270, 2.080, 2.053], [0.059, -2.567, 2.665], [7.074, 4.423, 6.673]], "species": ["Mo", "Mo", "Mo", "Mo", "Ti", "Ti", "Br", "Br"], "fractional_positions": [[0.875, 0.863, 0.750], [0.137, 0.625, 0.250], [0.613, 0.125, 0.250], [0.375, 0.387, 0.750], [0.250, 0.750, 0.500], [0.500, 0.500, 0.000], [0.750, 0.250, 0.500], [0.000, 0.000, 0.000]], "polymorph_energy_ev_per_atom": 0.000, "spacegroup": "I-42d, No. 122", "dft_energy_ev_per_atom": -7.138}

***

{"formula": "AsPdWSe2", "functional": "PBE", "state": "optimized geometry", "lattice": [[-0.253, 2.327, 4.281], [2.587, -3.568, 2.093], [4.180, 2.408, -1.062]], "species": ["Pd", "As", "Se", "Se", "W"], "fractional_positions": [[0.500, 0.500, 0.500], [0.000, 0.000, 0.500], [0.000, 0.500, 0.000], [0.500, 0.000, 0.000], [0.000, 0.000, 0.000]], "polymorph_energy_ev_per_atom": 0.000, "spacegroup": "P4/mmm, No. 123", "dft_energy_ev_per_atom": -5.353}

***

{"formula": "Rb6GaO4", "functional": "PBE", "state": "optimized geometry", "lattice": [[-0.090, 4.123, 5.369], [-4.433, 6.910, -5.380], [-5.366, -6.562, 4.949]], "species": ["Ga", "Ga", "Rb", "Rb", "Rb", "Rb", "Rb", "Rb", "Rb", "Rb", "Rb", "Rb", "Rb", "Rb", "O", "O", "O", "O", "O", "O", "O", "O"], "fractional_positions": [[0.725, 0.333, 0.667], [0.225, 0.667, 0.333], [0.488, 0.709, 0.854], [0.627, 0.914, 0.457], [0.127, 0.457, 0.914], [0.127, 0.086, 0.543], [0.627, 0.543, 0.086], [0.127, 0.457, 0.543], [0.488, 0.146, 0.854], [0.988, 0.854, 0.146], [0.488, 0.146, 0.291], [0.988, 0.854, 0.709], [0.627, 0.543, 0.457], [0.988, 0.291, 0.146], [0.327, 0.454, 0.227], [0.827, 0.227, 0.454], [0.827, 0.227, 0.773], [0.327, 0.773, 0.546], [0.441, 0.333, 0.667], [0.941, 0.667, 0.333], [0.827, 0.546, 0.773], [0.327, 0.773, 0.227]], "spacegroup": "P6_3mc, No. 186", "dft_energy_ev_per_atom": -3.771}

***

{"formula": "Tb3Mn3Ga2Si", "functional": "PBE", "state": "optimized geometry", "lattice": [[3.548, -6.145, 0.000], [3.548, 6.145, 0.000], [0.000, 0.000, 4.002]], "species": ["Ga", "Ga", "Tb", "Tb", "Tb", "Mn", "Mn", "Mn", "Si"], "fractional_positions": [[0.667, 0.333, 0.000], [0.333, 0.667, 0.000], [0.592, 0.000, 0.500], [0.000, 0.592, 0.500], [0.408, 0.408, 0.500], [0.778, 0.778, 0.000], [0.000, 0.222, 0.000], [0.222, 0.000, 0.000], [0.000, 0.000, 0.500]], "polymorph_energy_ev_per_atom": 0.005, "spacegroup": "P-62m, No. 189", "dft_energy_ev_per_atom": -6.203}

***

Density (g/cm³)
10.50 4.53 7.48 7.39 3.80 7.70
V (Å³/cell)
112.1 931.3 141.8 117.6 564.8 174.5